VHgSeN2: optimized geometry, PBE.

Cell lengths 3.8154, 3.8154, 5.4729 Å; angles 90.00, 90.00, 90.00 degrees
Last column: nearest neighbours and their distance in Å.
Fractional coordinates of all 5 atoms:
V1 0.0000 0.0000 0.0000  4 N 1.91
Hg1 0.5000 0.5000 0.5000  4 Se 2.70
Se1 0.0000 0.0000 0.5000  4 Hg 2.70, 2 V 2.74
N1 0.0000 0.5000 0.0000  2 V 1.91
N2 0.5000 0.0000 0.0000  2 V 1.91

Results
The calculation puts the formation energy without anion corrections at 1.700 eV/f.u. Its energy above the most stable polymorph in this dataset is 0 meV/atom. The volume comes out at 15.93 Å³/atom.